# 1
A relaxed structure of Sm2ErTm12, computed with GGA-PBE.

a b c (Å): 3.5416 47.4735 5.5338
angles (deg): 90.00 90.00 90.00
With the nearest neighbours (Å) after each atom.
Space group Cmmm (No. 65)
Inequivalent atoms, fractional coordinates:
Sm  0.0000  0.1401  0.0000 x4  5 Tm 3.46-3.49, 2 Sm 3.54
Er  0.0000  0.5000  0.0000 x2  2 Er 3.54, 12 Tm 3.64
Tm  0.0000  0.0330  0.5000 x4  5 Tm 3.13-3.46
Tm  0.0000  0.0671  0.0000 x4  8 Tm 3.21-3.55, 1 Sm 3.46
Tm  0.0000  0.2225  0.5000 x4  8 Tm 3.15-3.31
Tm  0.0000  0.2864  0.0000 x4  8 Tm 3.31-3.60
Tm  0.0000  0.3350  0.5000 x4  7 Tm 3.25-3.60, 4 Sm 3.49
Tm  0.0000  0.4044  0.5000 x4  9 Tm 3.29-3.55

Values from the calculation:
DFT formation energy (eV per atom): 0.11
Calculated total energy (eV/atom): -4.402
Crystal system: orthorhombic

# 2
A relaxed structure of Sm12Er2Tm, computed with GGA-PBE.

a b c (Å): 6.4513 6.7576 25.6879
angles (deg): 87.18 89.87 63.16
With the nearest neighbours (Å) after each atom.
Space group P-1 (No. 2)
Inequivalent atoms, fractional coordinates:
Sm  0.0077  0.2774  0.3177 x2  5 Sm 3.32-3.66, 4 Er 3.49-3.55
Sm  0.0588  0.5451  0.8140 x2  9 Sm 3.49-3.83, 3 Er 3.50-3.90
Sm  0.1694  0.3277  0.9490 x2  4 Tm 3.53-3.74, 8 Sm 3.57-3.78
Sm  0.1769  0.9786  0.8481 x2  2 Er 3.47-3.76, 9 Sm 3.49-3.76, 1 Tm 3.61
Sm  0.2165  0.5105  0.3997 x2  7 Sm 3.28-3.61, 1 Er 3.56
Sm  0.2445  0.0152  0.4661 x2  11 Sm 3.41-3.81
Sm  0.2487  0.9473  0.6025 x2  7 Sm 3.34-3.56, 1 Er 3.48
Sm  0.2551  0.4980  0.5343 x2  11 Sm 3.41-3.81
Sm  0.2753  0.1099  0.0814 x2  3 Tm 3.49-3.69, 9 Sm 3.53-3.76
Sm  0.3705  0.5593  0.1183 x2  9 Sm 3.49-3.83, 2 Tm 3.59-3.64, 1 Er 3.91
Sm  0.3908  0.8937  0.2155 x2  7 Sm 3.40-3.72, 4 Er 3.52-3.78
Sm  0.4835  0.7804  0.3461 x2  7 Sm 3.28-3.66, 1 Er 3.54
Er  0.0466  0.1932  0.7201 x2  10 Sm 3.47-3.78, 2 Er 3.48-3.52
Er  0.4831  0.3416  0.2643 x2  2 Er 3.48-3.52, 9 Sm 3.49-3.87
Tm  0.2781  0.7721  0.9828 x2  10 Sm 3.49-3.74, 2 Tm 3.56-3.66

Values from the calculation:
DFT formation energy (eV per atom): 0.05
Calculated total energy (eV/atom): -4.634
Crystal system: triclinic

# 3
A relaxed structure of Sm4ErTm7, computed with GGA-PBE.

a b c (Å): 12.0343 5.8294 12.6820
angles (deg): 90.00 118.29 90.00
With the nearest neighbours (Å) after each atom.
Space group C2/m (No. 12)
Inequivalent atoms, fractional coordinates:
Sm  0.0560  0.0000  0.3341 x4  4 Tm 3.25-3.49, 2 Sm 3.57
Sm  0.1359  0.5000  0.7768 x4  7 Tm 3.34-3.67, 2 Sm 3.57
Er  0.0000  0.5000  0.0000 x2  4 Tm 2.91-3.12
Tm  0.0000  0.0000  0.0000 x2  2 Er 2.91, 2 Tm 3.13
Tm  0.1380  0.5000  0.5059 x4  4 Tm 3.25-3.58, 5 Sm 3.25-3.54
Tm  0.2123  0.0000  0.9243 x4  1 Er 3.12, 4 Tm 3.13-3.37, 4 Sm 3.34-3.35
Tm  0.2408  0.5000  0.3099 x4  4 Tm 3.26-3.58, 1 Er 3.61

Values from the calculation:
DFT formation energy (eV per atom): 0.29
Calculated total energy (eV/atom): -4.275
Energy above the lowest structure with this stoichiometry (eV per formula unit): 2.354
Crystal system: monoclinic

# 4
A relaxed structure of Sm7Er2Tm4, computed with GGA-PBE.

a b c (Å): 7.9607 7.9784 7.9837
angles (deg): 107.46 107.57 107.40
With the nearest neighbours (Å) after each atom.
Space group P-1 (No. 2)
Inequivalent atoms, fractional coordinates:
Sm  0.0000  0.0000  0.0000 x1  6 Sm 3.55-3.57, 4 Tm 3.56-3.58, 2 Er 3.58
Sm  0.3068  0.7696  0.9239 x2  4 Tm 3.55-3.58, 2 Er 3.55-3.57, 6 Sm 3.55-3.59
Sm  0.3839  0.4606  0.1540 x2  6 Sm 3.56-3.58, 4 Tm 3.56-3.58, 2 Er 3.56-3.59
Sm  0.4619  0.1535  0.3864 x2  6 Sm 3.54-3.59, 4 Tm 3.55-3.58, 2 Er 3.58
Er  0.1518  0.3841  0.4632 x2  4 Tm 3.53-3.56, 1 Er 3.53, 7 Sm 3.55-3.59
Tm  0.0757  0.6916  0.2325 x2  2 Er 3.53-3.56, 3 Tm 3.54-3.59, 7 Sm 3.55-3.58
Tm  0.2276  0.0769  0.6909 x2  3 Tm 3.51-3.56, 2 Er 3.54-3.55, 7 Sm 3.56-3.58

Values from the calculation:
DFT formation energy (eV per atom): 0.02
Calculated total energy (eV/atom): -4.599
Crystal system: triclinic

# 5
A relaxed structure of Sm4Er4Tm3, computed with GGA-PBE.

a b c (Å): 3.5232 5.5496 18.1388
angles (deg): 81.25 84.47 90.00
With the nearest neighbours (Å) after each atom.
Space group P-1 (No. 2)
Inequivalent atoms, fractional coordinates:
Sm  0.0954  0.0955  0.3085 x2  4 Er 3.34-3.54, 4 Tm 3.50, 2 Sm 3.52
Sm  0.2199  0.7198  0.0581 x2  5 Er 3.47-3.57, 4 Sm 3.52-3.88, 2 Tm 3.71
Er  0.0430  0.5437  0.4124 x2  1 Er 3.12, 2 Sm 3.34
Er  0.3190  0.8191  0.8636 x2  2 Tm 3.34-3.35, 7 Sm 3.47-3.57, 2 Er 3.52
Tm  0.3718  0.3710  0.7589 x2  4 Er 3.34-3.53, 6 Sm 3.50-3.71, 2 Tm 3.52
Tm  0.5000  0.0000  0.5000 x1  2 Tm 3.52, 8 Er 3.64, 4 Sm 3.84

Values from the calculation:
DFT formation energy (eV per atom): 0.04
Calculated total energy (eV/atom): -4.550
Energy above the lowest structure with this stoichiometry (eV per formula unit): 0.000
Crystal system: triclinic

# 6
A relaxed structure of Sm4ErTm4, computed with GGA-PBE.

a b c (Å): 16.7641 5.5438 6.7574
angles (deg): 90.00 113.42 90.00
With the nearest neighbours (Å) after each atom.
Space group C2/m (No. 12)
Inequivalent atoms, fractional coordinates:
Sm  0.1335  0.0000  0.4602 x4  4 Tm 3.27-3.36, 3 Sm 3.47-3.48, 2 Er 3.64
Sm  0.2203  0.5000  0.7866 x4  2 Tm 3.33-3.59, 1 Er 3.42, 3 Sm 3.47-3.48
Er  0.0000  0.5000  0.5000 x2  6 Sm 3.42-3.64, 6 Tm 3.57-3.62
Tm  0.0711  0.0000  0.8746 x4  3 Sm 3.27-3.36, 3 Tm 3.33-3.43, 2 Er 3.62
Tm  0.1231  0.5000  0.1734 x4  2 Tm 3.33, 3 Sm 3.35-3.59, 1 Er 3.57

Values from the calculation:
DFT formation energy (eV per atom): 0.11
Calculated total energy (eV/atom): -4.483
Energy above the lowest structure with this stoichiometry (eV per formula unit): 0.758
Crystal system: monoclinic

# 7
A relaxed structure of Sm8ErTm4, computed with GGA-PBE.

a b c (Å): 7.2111 7.2111 28.4872
angles (deg): 90.00 90.00 120.00
With the nearest neighbours (Å) after each atom.
Space group R-3m (No. 166, hexagonal axes)
Inequivalent atoms, fractional coordinates:
Sm  0.0000  0.0000  0.2128 x6  9 Sm 3.67-3.81, 3 Tm 4.01
Sm  0.0293  0.5146  0.7636 x18  1 Er 3.01, 2 Sm 3.29, 1 Tm 3.35
Er  0.0000  0.0000  0.5000 x3  6 Sm 3.01
Tm  0.0000  0.0000  0.0000 x3  6 Sm 3.35, 6 Tm 3.61
Tm  0.0000  0.5000  0.0000 x9  4 Sm 3.52, 6 Tm 3.61

Values from the calculation:
DFT formation energy (eV per atom): 0.21
Calculated total energy (eV/atom): -4.424
Crystal system: trigonal

# 8
A relaxed structure of Sm8Er6Tm, computed with GGA-PBE.

a b c (Å): 9.3547 9.3547 6.4869
angles (deg): 90.00 90.00 120.00
With the nearest neighbours (Å) after each atom.
Space group P-3 (No. 147)
Inequivalent atoms, fractional coordinates:
Sm  0.0362  0.7516  0.1678 x6  3 Sm 3.26-3.32, 4 Er 3.28-3.55, 1 Tm 3.31
Sm  0.3333  0.6667  0.1233 x2  3 Sm 3.26
Er  0.0938  0.6551  0.6598 x6  1 Er 3.27, 4 Sm 3.28-3.55
Tm  0.0000  0.0000  0.5000 x1  6 Sm 3.31

Values from the calculation:
DFT formation energy (eV per atom): 0.18
Calculated total energy (eV/atom): -4.462
Energy above the lowest structure with this stoichiometry (eV per formula unit): 0.765
Crystal system: trigonal

# 9
A relaxed structure of Sm3Er2Tm8, computed with GGA-PBE.

a b c (Å): 7.6356 19.8734 5.5584
angles (deg): 90.00 90.00 90.00
With the nearest neighbours (Å) after each atom.
Space group Cmmm (No. 65)
Inequivalent atoms, fractional coordinates:
Sm  0.0000  0.0000  0.0000 x2  4 Tm 3.11
Sm  0.2092  0.5000  0.5000 x4  3 Sm 3.19-3.56, 6 Tm 3.48-3.54
Er  0.0000  0.2407  0.0000 x4  8 Tm 3.29-3.49
Tm  0.0000  0.1345  0.5000 x4  4 Sm 3.48-3.86, 2 Er 3.49, 7 Tm 3.59-3.89
Tm  0.0000  0.3292  0.5000 x4  2 Er 3.29, 4 Tm 3.43
Tm  0.2093  0.3900  0.0000 x8  1 Sm 3.11, 3 Tm 3.20-3.43, 2 Er 3.37-3.42

Values from the calculation:
DFT formation energy (eV per atom): 0.26
Calculated total energy (eV/atom): -4.287
Energy above the lowest structure with this stoichiometry (eV per formula unit): 2.985
Crystal system: orthorhombic

# 10
A relaxed structure of Sm2Er3Tm2, computed with GGA-PBE.

a b c (Å): 9.6600 9.6600 9.6600
angles (deg): 90.00 90.00 90.00
With the nearest neighbours (Å) after each atom.
Space group I2_13 (No. 199)
Inequivalent atoms, fractional coordinates:
Sm  0.1548  0.3452  0.6548 x8  1 Tm 3.36, 3 Er 3.48, 3 Sm 3.51
Er  0.0000  0.2500  0.3100 x12  4 Tm 3.21-3.26, 2 Sm 3.48
Tm  0.0458  0.0458  0.0458 x8  6 Er 3.21-3.26, 1 Sm 3.36

Values from the calculation:
DFT formation energy (eV per atom): 0.24
Calculated total energy (eV/atom): -4.346
Energy above the lowest structure with this stoichiometry (eV per formula unit): 1.493
Crystal system: cubic

# 11
A relaxed structure of Sm12Er3Tm, computed with GGA-PBE.

a b c (Å): 5.0858 5.0858 20.3085
angles (deg): 90.00 90.00 90.00
With the nearest neighbours (Å) after each atom.
Space group P4/mmm (No. 123)
Inequivalent atoms, fractional coordinates:
Sm  0.0000  0.0000  0.0000 x1  8 Sm 3.60, 4 Er 3.60
Sm  0.0000  0.0000  0.2503 x2  8 Sm 3.59, 4 Er 3.60
Sm  0.0000  0.0000  0.5000 x1  8 Sm 3.59, 4 Tm 3.60
Sm  0.0000  0.5000  0.1252 x4  4 Er 3.59-3.60, 8 Sm 3.59-3.60
Sm  0.0000  0.5000  0.3753 x4  2 Tm 3.59, 8 Sm 3.59-3.60, 2 Er 3.59
Er  0.5000  0.5000  0.0000 x1  12 Sm 3.60
Er  0.5000  0.5000  0.2502 x2  12 Sm 3.59-3.60
Tm  0.5000  0.5000  0.5000 x1  12 Sm 3.59-3.60

Values from the calculation:
DFT formation energy (eV per atom): 0.02
Calculated total energy (eV/atom): -4.657
Crystal system: tetragonal

# 12
A relaxed structure of SmErTm2, computed with GGA-PBE.

a b c (Å): 3.5573 3.5573 34.0477
angles (deg): 90.00 90.00 120.00
With the nearest neighbours (Å) after each atom.
Space group R3m (No. 160, hexagonal axes)
Inequivalent atoms, fractional coordinates:
Sm  0.0000  0.0000  0.0000 x3  6 Tm 3.53-3.55, 6 Sm 3.56
Er  0.0000  0.0000  0.1657 x3  6 Tm 3.45-3.48, 6 Er 3.56
Tm  0.0000  0.0000  0.4175 x3  3 Er 3.45, 3 Sm 3.53, 6 Tm 3.56
Tm  0.0000  0.0000  0.5815 x3  3 Er 3.48, 3 Sm 3.55, 6 Tm 3.56

Values from the calculation:
DFT formation energy (eV per atom): 0.01
Calculated total energy (eV/atom): -4.548
Energy above the lowest structure with this stoichiometry (eV per formula unit): 0.000
Crystal system: trigonal